# 1
This record from Alexandria via LeMat-Bulk describes a PBEsol-optimized structure of NaAgSe. The functional is SCAN.

Cell: 4.251 7.256 8.024 Å, 90.00 90.00 90.00°
Atoms (fractional coordinates):
Se 0.250 0.757 0.873
Se 0.750 0.743 0.373
Se 0.250 0.257 0.627
Se 0.750 0.243 0.127
Ag 0.750 0.371 0.444
Ag 0.250 0.129 0.944
Ag 0.250 0.629 0.556
Ag 0.750 0.871 0.056
Na 0.750 0.968 0.675
Na 0.250 0.532 0.175
Na 0.750 0.468 0.825
Na 0.250 0.032 0.325

Energy relative to the elements, uncorrected, eV per atom: -0.72

# 2
This record from Alexandria via LeMat-Bulk describes a PBEsol-optimized structure of Ca2NiBr. The functional is SCAN.

Cell: 3.603 3.657 8.060 Å, 103.11 102.91 90.00°
Atoms (fractional coordinates):
Br 0.298 0.798 0.596
Ni 0.551 0.551 0.101
Ca 0.970 0.970 0.940
Ca 0.681 0.181 0.363

Energy relative to the elements, uncorrected, eV per atom: -0.64

# 3
This record from Alexandria via LeMat-Bulk describes a PBEsol-optimized structure of RuS3Cl8. The functional is SCAN.

Cell: 7.679 8.207 10.527 Å, 103.40 97.50 109.59°
Atoms (fractional coordinates):
Cl 0.884 0.122 0.969
Cl 0.856 0.968 0.236
Cl 0.116 0.878 0.031
Cl 0.952 0.437 0.816
Cl 0.772 0.905 0.509
Cl 0.144 0.032 0.764
Cl 0.472 0.769 0.969
Cl 0.501 0.942 0.706
Cl 0.779 0.469 0.539
Cl 0.228 0.095 0.491
Cl 0.048 0.563 0.184
Cl 0.499 0.058 0.294
Cl 0.513 0.559 0.238
Cl 0.221 0.531 0.461
Cl 0.487 0.441 0.762
Cl 0.528 0.231 0.031
Ru 0.115 0.157 0.169
Ru 0.885 0.843 0.831
S 0.671 0.665 0.916
S 0.329 0.335 0.084
S 0.029 0.369 0.282
S 0.971 0.631 0.718
S 0.665 0.797 0.654
S 0.335 0.203 0.346

Energy relative to the elements, uncorrected, eV per atom: -0.38

# 4
This record from Alexandria via LeMat-Bulk describes a PBEsol-optimized structure of MgCoBiTe2. The functional is SCAN.

Cell: 5.312 5.312 5.340 Å, 90.00 90.00 90.00°
Atoms (fractional coordinates):
Co 0.500 0.500 0.500
Bi 0.000 0.000 0.500
Te 0.000 0.500 0.000
Te 0.500 0.000 0.000
Mg 0.000 0.000 0.000

Energy relative to the elements, uncorrected, eV per atom: 0.94

# 5
This record from Alexandria via LeMat-Bulk describes a PBEsol-optimized structure of YZnOs2. The functional is SCAN.

Cell: 2.815 2.815 9.681 Å, 81.64 81.64 60.00°
Atoms (fractional coordinates):
Os 0.740 0.740 0.780
Os 0.002 0.002 0.994
Zn 0.259 0.259 0.222
Y 0.499 0.499 0.504

Calculated formation energy, eV per atom: 0.4471

# 6
This record from Alexandria via LeMat-Bulk describes a PBEsol-optimized structure of K4W2Cl10O. The functional is SCAN.

Cell: 7.073 7.073 10.120 Å, 110.45 110.45 90.00°
Atoms (fractional coordinates):
Cl 0.872 0.352 0.225
Cl 0.648 0.648 0.775
Cl 0.243 0.243 0.486
Cl 0.128 0.128 0.775
Cl 0.352 0.352 0.225
Cl 0.757 0.757 0.514
Cl 0.872 0.872 0.225
Cl 0.648 0.128 0.775
Cl 0.352 0.872 0.225
Cl 0.128 0.648 0.775
K 0.500 0.000 0.000
K 0.250 0.750 0.500
K 0.000 0.500 0.000
K 0.750 0.250 0.500
W 0.893 0.893 0.787
W 0.107 0.107 0.213
O 0.000 0.000 0.000

Energy relative to the elements, uncorrected, eV per atom: -1.67

# 7
This record from Alexandria via LeMat-Bulk describes a PBEsol-optimized structure of TmGa6. The functional is SCAN.

Cell: 5.828 5.828 7.456 Å, 90.00 90.00 90.00°
Atoms (fractional coordinates):
Ga 0.000 0.000 0.839
Ga 0.176 0.676 0.648
Ga 0.500 0.500 0.161
Ga 0.000 0.000 0.161
Ga 0.176 0.324 0.352
Ga 0.500 0.500 0.839
Ga 0.676 0.176 0.352
Ga 0.824 0.676 0.352
Ga 0.676 0.824 0.648
Ga 0.324 0.824 0.352
Ga 0.824 0.324 0.648
Ga 0.324 0.176 0.648
Tm 0.000 0.500 0.000
Tm 0.500 0.000 0.000

Calculated formation energy, eV per atom: -0.3315

# 8
This record from Alexandria via LeMat-Bulk describes a PBEsol-optimized structure of TlCr5Se8. The functional is SCAN.

Cell: 3.610 8.802 9.441 Å, 104.10 101.02 90.00°
Atoms (fractional coordinates):
Se 0.585 0.320 0.170
Se 0.074 0.660 0.148
Se 0.415 0.680 0.830
Se 0.738 0.656 0.476
Se 0.669 0.994 0.338
Se 0.926 0.340 0.852
Se 0.262 0.344 0.524
Se 0.331 0.006 0.662
Cr 0.500 0.500 0.000
Cr 0.843 0.524 0.686
Cr 0.157 0.476 0.314
Cr 0.796 0.165 0.593
Cr 0.204 0.835 0.407
Tl 0.000 0.000 0.000

Energy relative to the elements, uncorrected, eV per atom: -0.86

| no. | total moment (μB/cell) |
| --- | --- |
| 1 | 0.000 |
| 2 | 0.000 |
| 3 | 0.000 |
| 4 | 2.319 |
| 5 | 0.000 |
| 6 | 4.000 |
| 7 | 0.000 |
| 8 | 15.000 |